Crystalline NbCrSn2O6 at its relaxed geometry. Source: the Alexandria database, functional PBE+U.

Cell lengths 5.6686, 5.6686, 5.6686 Å; angles 60.00, 60.00, 60.00 degrees
Each line ends with the local moment (μB).
Atoms (fractional coordinates):
1 O 0.2496 0.7504 0.2496  -0.01
2 O 0.2496 0.2496 0.7504  -0.01
3 O 0.7504 0.2496 0.7504  -0.01
4 O 0.7504 0.7504 0.2496  -0.01
5 O 0.2496 0.7504 0.7504  -0.01
6 O 0.7504 0.2496 0.2496  -0.01
7 Cr 0.0000 0.0000 0.0000  2.90
8 Sn 0.2500 0.2500 0.2500  0.00
9 Sn 0.7500 0.7500 0.7500  0.00
10 Nb 0.5000 0.5000 0.5000  0.02

Magnetic moment = 2.99 μB per cell
Final energy = -7.28 eV per atom